# AlRu2Pt PBE optimized geometry
# **E_tot**: -29.44 eV for the cell shown
data_AlRu2Pt
_chemical_formula_sum 'Al1 Ru2 Pt1'
_cell_length_a 4.700
_cell_length_b 4.700
_cell_length_c 4.700
_cell_angle_alpha 131.33
_cell_angle_beta 131.33
_cell_angle_gamma 71.30
_space_group_name_H-M_alt 'P 1'
_space_group_IT_number 1
loop_
_space_group_symop_operation_xyz
'x,y,z'
loop_
_atom_site_label
_atom_site_type_symbol
_atom_site_fract_x
_atom_site_fract_y
_atom_site_fract_z
Al1 Al 0.250 0.750 0.500
Ru1 Ru 0.500 0.500 0.000
Ru2 Ru 0.000 0.000 0.000
Pt1 Pt 0.750 0.250 0.500

# AlRu2Pt PBE optimized geometry
# **E_tot**: -29.42 eV for the cell shown
data_AlRu2Pt
_chemical_formula_sum 'Al1 Ru2 Pt1'
_cell_length_a 4.767
_cell_length_b 4.767
_cell_length_c 4.669
_cell_angle_alpha 77.52
_cell_angle_beta 77.52
_cell_angle_gamma 33.68
_space_group_name_H-M_alt 'P 1'
_space_group_IT_number 1
loop_
_space_group_symop_operation_xyz
'x,y,z'
loop_
_atom_site_label
_atom_site_type_symbol
_atom_site_fract_x
_atom_site_fract_y
_atom_site_fract_z
Pt1 Pt 0.250 0.250 0.250
Al1 Al 0.750 0.750 0.750
Ru1 Ru 0.491 0.491 0.506
Ru2 Ru 0.009 0.009 0.994

# Al2RuPt PBE optimized geometry
# **E_tot**: -25.16 eV for the cell shown
data_Al2RuPt
_chemical_formula_sum 'Al2 Ru1 Pt1'
_cell_length_a 4.352
_cell_length_b 4.352
_cell_length_c 4.990
_cell_angle_alpha 78.37
_cell_angle_beta 78.37
_cell_angle_gamma 39.41
_space_group_name_H-M_alt 'P 1'
_space_group_IT_number 1
loop_
_space_group_symop_operation_xyz
'x,y,z'
loop_
_atom_site_label
_atom_site_type_symbol
_atom_site_fract_x
_atom_site_fract_y
_atom_site_fract_z
Pt1 Pt 0.750 0.750 0.750
Ru1 Ru 0.250 0.250 0.250
Al1 Al 0.502 0.502 0.492
Al2 Al 0.998 0.998 0.008

# AlRu2Pt PBE optimized geometry
# **E_tot**: -29.77 eV for the cell shown
data_AlRu2Pt
_chemical_formula_sum 'Al1 Ru2 Pt1'
_cell_length_a 2.784
_cell_length_b 3.738
_cell_length_c 5.553
_cell_angle_alpha 90.00
_cell_angle_beta 90.00
_cell_angle_gamma 90.00
_space_group_name_H-M_alt 'P 1'
_space_group_IT_number 1
loop_
_space_group_symop_operation_xyz
'x,y,z'
loop_
_atom_site_label
_atom_site_type_symbol
_atom_site_fract_x
_atom_site_fract_y
_atom_site_fract_z
Al1 Al 0.000 0.000 0.507
Ru1 Ru 0.500 0.500 0.232
Ru2 Ru 0.000 0.000 0.029
Pt1 Pt 0.500 0.500 0.731

# AlRu2Pt PBE optimized geometry
# **E_tot**: -28.92 eV for the cell shown
data_AlRu2Pt
_chemical_formula_sum 'Al1 Ru2 Pt1'
_cell_length_a 8.826
_cell_length_b 8.826
_cell_length_c 8.826
_cell_angle_alpha 18.04
_cell_angle_beta 18.04
_cell_angle_gamma 18.04
_space_group_name_H-M_alt 'P 1'
_space_group_IT_number 1
loop_
_space_group_symop_operation_xyz
'x,y,z'
loop_
_atom_site_label
_atom_site_type_symbol
_atom_site_fract_x
_atom_site_fract_y
_atom_site_fract_z
Al1 Al 0.250 0.250 0.250
Ru1 Ru 0.996 0.996 0.996
Pt1 Pt 0.750 0.750 0.750
Ru2 Ru 0.504 0.504 0.504

# Al6Ru5Pt PBE optimized geometry
# **E_tot**: -84.22 eV for the cell shown
data_Al6Ru5Pt
_chemical_formula_sum 'Al6 Ru5 Pt1'
_cell_length_a 4.258
_cell_length_b 6.035
_cell_length_c 7.365
_cell_angle_alpha 114.19
_cell_angle_beta 106.80
_cell_angle_gamma 90.00
_space_group_name_H-M_alt 'P 1'
_space_group_IT_number 1
loop_
_space_group_symop_operation_xyz
'x,y,z'
loop_
_atom_site_label
_atom_site_type_symbol
_atom_site_fract_x
_atom_site_fract_y
_atom_site_fract_z
Ru1 Ru 0.662 0.162 0.324
Ru2 Ru 0.668 0.668 0.336
Al1 Al 0.830 0.574 0.660
Al2 Al 0.500 0.739 0.000
Al3 Al 0.170 0.426 0.340
Al4 Al 0.830 0.086 0.660
Al5 Al 0.500 0.261 0.000
Ru3 Ru 0.000 0.500 0.000
Ru4 Ru 0.338 0.838 0.676
Al6 Al 0.170 0.914 0.340
Pt1 Pt 0.000 0.000 0.000
Ru5 Ru 0.332 0.332 0.664

# AlRu2Pt PBE optimized geometry
# **E_tot**: -55.54 eV for the cell shown
data_AlRu2Pt
_chemical_formula_sum 'Al2 Ru4 Pt2'
_cell_length_a 3.660
_cell_length_b 3.660
_cell_length_c 9.725
_cell_angle_alpha 79.15
_cell_angle_beta 79.15
_cell_angle_gamma 90.00
_space_group_name_H-M_alt 'P 1'
_space_group_IT_number 1
loop_
_space_group_symop_operation_xyz
'x,y,z'
loop_
_atom_site_label
_atom_site_type_symbol
_atom_site_fract_x
_atom_site_fract_y
_atom_site_fract_z
Pt1 Pt 0.750 0.250 0.500
Al1 Al 0.250 0.750 0.500
Ru1 Ru 0.150 0.625 0.250
Ru2 Ru 0.875 0.850 0.750
Ru3 Ru 0.600 0.125 0.250
Ru4 Ru 0.375 0.400 0.750
Al2 Al 0.500 0.500 0.000
Pt2 Pt 0.000 0.000 0.000

# AlRuPt3 PBE optimized geometry
# **E above lowest polymorph**: 0 meV/atom
data_AlRuPt3
_chemical_formula_sum 'Al1 Ru1 Pt3'
_cell_length_a 4.523
_cell_length_b 4.523
_cell_length_c 4.523
_cell_angle_alpha 90.00
_cell_angle_beta 90.00
_cell_angle_gamma 90.00
_space_group_name_H-M_alt 'P 1'
_space_group_IT_number 1
loop_
_space_group_symop_operation_xyz
'x,y,z'
loop_
_atom_site_label
_atom_site_type_symbol
_atom_site_fract_x
_atom_site_fract_y
_atom_site_fract_z
Ru1 Ru 0.500 0.500 0.500
Pt1 Pt 0.500 0.000 0.000
Pt2 Pt 0.000 0.500 0.000
Al1 Al 0.000 0.000 0.000
Pt3 Pt 0.000 0.000 0.500

# Al2RuPt PBE optimized geometry
# **E_tot**: -47.70 eV for the cell shown
data_Al2RuPt
_chemical_formula_sum 'Al4 Ru2 Pt2'
_cell_length_a 6.662
_cell_length_b 6.662
_cell_length_c 5.516
_cell_angle_alpha 52.85
_cell_angle_beta 52.85
_cell_angle_gamma 90.00
_space_group_name_H-M_alt 'P 1'
_space_group_IT_number 1
loop_
_space_group_symop_operation_xyz
'x,y,z'
loop_
_atom_site_label
_atom_site_type_symbol
_atom_site_fract_x
_atom_site_fract_y
_atom_site_fract_z
Ru1 Ru 0.500 0.500 0.000
Al1 Al 0.875 0.880 0.750
Al2 Al 0.630 0.125 0.250
Pt1 Pt 0.750 0.250 0.500
Ru2 Ru 0.250 0.750 0.500
Pt2 Pt 0.000 0.000 0.000
Al3 Al 0.120 0.625 0.250
Al4 Al 0.375 0.370 0.750

# Al2RuPt PBE optimized geometry
# **E_tot**: -24.06 eV for the cell shown
data_Al2RuPt
_chemical_formula_sum 'Al2 Ru1 Pt1'
_cell_length_a 2.814
_cell_length_b 2.814
_cell_length_c 7.619
_cell_angle_alpha 90.00
_cell_angle_beta 90.00
_cell_angle_gamma 90.00
_space_group_name_H-M_alt 'P 1'
_space_group_IT_number 1
loop_
_space_group_symop_operation_xyz
'x,y,z'
loop_
_atom_site_label
_atom_site_type_symbol
_atom_site_fract_x
_atom_site_fract_y
_atom_site_fract_z
Al1 Al 0.500 0.500 0.269
Pt1 Pt 0.000 0.000 0.494
Al2 Al 0.000 0.000 0.977
Ru1 Ru 0.500 0.500 0.760

# Al3RuPt PBE optimized geometry
# **E above lowest polymorph**: 0 meV/atom
data_Al3RuPt
_chemical_formula_sum 'Al3 Ru1 Pt1'
_cell_length_a 4.571
_cell_length_b 4.571
_cell_length_c 4.571
_cell_angle_alpha 90.00
_cell_angle_beta 90.00
_cell_angle_gamma 90.00
_space_group_name_H-M_alt 'P 1'
_space_group_IT_number 1
loop_
_space_group_symop_operation_xyz
'x,y,z'
loop_
_atom_site_label
_atom_site_type_symbol
_atom_site_fract_x
_atom_site_fract_y
_atom_site_fract_z
Al1 Al 0.500 0.000 0.000
Pt1 Pt 0.500 0.500 0.500
Ru1 Ru 0.000 0.000 0.000
Al2 Al 0.000 0.000 0.500
Al3 Al 0.000 0.500 0.000

# Al2RuPt PBE optimized geometry
# **E_tot**: -25.34 eV for the cell shown
data_Al2RuPt
_chemical_formula_sum 'Al2 Ru1 Pt1'
_cell_length_a 2.830
_cell_length_b 3.861
_cell_length_c 5.346
_cell_angle_alpha 90.00
_cell_angle_beta 90.00
_cell_angle_gamma 90.00
_space_group_name_H-M_alt 'P 1'
_space_group_IT_number 1
loop_
_space_group_symop_operation_xyz
'x,y,z'
loop_
_atom_site_label
_atom_site_type_symbol
_atom_site_fract_x
_atom_site_fract_y
_atom_site_fract_z
Al1 Al 0.000 0.000 0.969
Al2 Al 0.500 0.500 0.273
Pt1 Pt 0.000 0.000 0.465
Ru1 Ru 0.500 0.500 0.794